! Ca3MgTc, optimized geometry, DFT PBE; values from VASP
! **Space-group type**: Pm-3m, No. 221
! **Polymorph energy (0 for the lowest one)**: 0.000 eV per atom
! **ΔH_f (0 K)**: 518 meV per atom
&SYSTEM
  ibrav = 0, nat = 5, ntyp = 3
/
ATOMIC_SPECIES
Ca 40.08 Ca.upf
Tc 98.00 Tc.upf
Mg 24.30 Mg.upf
CELL_PARAMETERS angstrom
-1.517 3.612 -3.893
-1.497 -4.176 -3.291
-5.096 0.151 2.126
ATOMIC_POSITIONS crystal
Ca 0.000 0.000 0.500
Ca 0.000 0.500 0.000
Ca 0.500 0.000 0.000
Tc 0.000 0.000 0.000
Mg 0.500 0.500 0.500